# SrTcTeN2

A geometry-optimized SrTcTeN2 structure (GGA-PBE, the Alexandria database).

Cell: 4.1187 4.1187 5.6541 Å, 90.00 90.00 90.00°
With the nearest neighbours (Å) after each atom.
Atoms (fractional coordinates):
N 0.0000 0.5000 0.0000  2 Tc 2.06
N 0.5000 0.0000 0.0000  2 Tc 2.06
Te 0.0000 0.0000 0.5000  2 Tc 2.83, 4 Sr 2.91
Sr 0.5000 0.5000 0.5000  4 Te 2.91
Tc 0.0000 0.0000 0.0000  4 N 2.06

energy: -6.1714 eV/atom
V: 95.9 Å³ per cell
E_form (uncorrected): 0.20 eV per atom